1.
Density functional theory data (GGA-PBE) for an optimized crystal structure of HgAuCl5.

- Uncorrected formation energy: -379 meV/atom
- Theoretical density: 4437 kg/m3

Cell lengths 7.9147, 7.9147, 8.5888 Å; angles 112.77, 112.77, 97.99 degrees
Positions (direct):
Hg: 0.0000 0.0000 0.0000
Hg: 0.0000 0.0000 0.5000
Au: 0.3322 0.6678 0.7500
Au: 0.6678 0.3322 0.2500
Cl: 0.0395 0.6469 0.7578
Cl: 0.1076 0.8924 0.2500
Cl: 0.3158 0.3733 0.7512
Cl: 0.3531 0.9605 0.7422
Cl: 0.3733 0.3158 0.2512
Cl: 0.6267 0.6842 0.7488
Cl: 0.6469 0.0395 0.2578
Cl: 0.6842 0.6267 0.2488
Cl: 0.8924 0.1076 0.7500
Cl: 0.9605 0.3531 0.2422

2.
Density functional theory data (GGA-PBE) for an optimized crystal structure of RbPaTa2S8.

- Uncorrected formation energy: -1066 meV/atom
- Theoretical density: 4282 kg/m3

Cell lengths 10.3645, 10.3645, 10.3645 Å; angles 37.07, 37.07, 37.07 degrees
Positions (direct):
Rb: 0.0000 0.0000 0.0000
Pa: 0.5000 0.5000 0.5000
Ta: 0.2426 0.2426 0.2426
Ta: 0.7574 0.7574 0.7574
S: 0.1216 0.7725 0.4434
S: 0.2275 0.5566 0.8784
S: 0.3186 0.3186 0.3186
S: 0.4434 0.1216 0.7725
S: 0.5566 0.8784 0.2275
S: 0.6814 0.6814 0.6814
S: 0.7725 0.4434 0.1216
S: 0.8784 0.2275 0.5566